(one)
Dy2ErPb3 | GGA-PBE | relaxed

abc: 6.3884 6.3880 9.0258
angles: 110.72 100.14 90.00
Atoms (fractional coordinates):
Dy (0.5845, 0.5412, 0.3334)
Dy (0.0845, 0.7922, 0.3334)
Dy (0.9155, 0.2078, 0.6666)
Dy (0.4155, 0.4588, 0.6666)
Er (0.7500, 0.1241, 0.0000)
Er (0.2500, 0.8759, 0.0000)
Pb (0.2500, 0.3761, 0.0000)
Pb (0.7500, 0.6239, 0.0000)
Pb (0.0828, 0.2909, 0.3321)
Pb (0.4172, 0.9588, 0.6679)
Pb (0.5828, 0.0412, 0.3321)
Pb (0.9172, 0.7091, 0.6679)

Values from the calculation:
**Size of the total moment**: 0.000 μB per atom
**Crystal system**: monoclinic
**Symmetry**: C2/c, No. 15



(two)
Dy2ErPb3 | GGA-PBE | relaxed

abc: 6.3510 7.6071 7.6071
angles: 79.57 90.00 90.00
Atoms (fractional coordinates):
Dy (0.4045, 0.8130, 0.4508)
Dy (0.9045, 0.5492, 0.1870)
Dy (0.4045, 0.4508, 0.8130)
Dy (0.9045, 0.1870, 0.5492)
Er (0.1662, 0.8673, 0.8673)
Er (0.6662, 0.1327, 0.1327)
Pb (0.9095, 0.8068, 0.4566)
Pb (0.4095, 0.5434, 0.1932)
Pb (0.9095, 0.4566, 0.8068)
Pb (0.4095, 0.1932, 0.5434)
Pb (0.6638, 0.8484, 0.8484)
Pb (0.1638, 0.1516, 0.1516)

Values from the calculation:
**Size of the total moment**: 0.000 μB per atom
**Crystal system**: orthorhombic
**Symmetry**: Cmc2_1, No. 36



Least stable: (two)



(one)
DyEr3Pb2 | GGA-PBE | relaxed

abc: 4.5382 4.5382 8.4865
angles: 90.00 90.00 90.00
Atoms (fractional coordinates):
Dy (0.5000, 0.5000, 0.0000)
Er (0.5000, 0.0000, 0.3399)
Er (0.0000, 0.5000, 0.6601)
Er (0.0000, 0.0000, 0.0000)
Pb (0.5000, 0.0000, 0.7134)
Pb (0.0000, 0.5000, 0.2866)

Values from the calculation:
**Size of the total moment**: 0.000 μB per atom
**Crystal system**: tetragonal
**Symmetry**: P-4m2, No. 115



(two)
DyEr3Pb2 | GGA-PBE | relaxed

abc: 7.2441 7.5274 8.9663
angles: 114.82 113.83 90.00
Atoms (fractional coordinates):
Dy (0.0000, 0.5000, 0.0000)
Dy (0.0000, 0.0000, 0.0000)
Er (0.5000, 0.2500, 0.0000)
Er (0.5000, 0.7500, 0.0000)
Er (0.7929, 0.0429, 0.5859)
Er (0.2071, 0.4571, 0.4141)
Er (0.2071, 0.9571, 0.4141)
Er (0.7929, 0.5429, 0.5859)
Pb (0.5302, 0.3562, 0.7123)
Pb (0.8178, 0.1438, 0.2877)
Pb (0.1822, 0.8562, 0.7123)
Pb (0.4698, 0.6438, 0.2877)

Values from the calculation:
**Size of the total moment**: 0.000 μB per atom
**Crystal system**: orthorhombic
**Symmetry**: Ibam, No. 72



Least stable: (two)



(one)
DyErTlPb | GGA-PBE | relaxed

abc: 5.3906 5.3906 5.3906
angles: 60.00 60.00 60.00
Atoms (fractional coordinates):
Pb (0.5000, 0.5000, 0.5000)
Tl (0.0000, 0.0000, 0.0000)
Dy (0.2500, 0.2500, 0.2500)
Er (0.7500, 0.7500, 0.7500)

Values from the calculation:
**Size of the total moment**: 0.000 μB per atom
**Crystal system**: cubic
**Symmetry**: F-43m, No. 216



(two)
DyErTlPb | GGA-PBE | relaxed

abc: 4.9987 4.9991 5.6354
angles: 116.32 116.33 90.00
Atoms (fractional coordinates):
Dy (0.7500, 0.2499, 0.5000)
Er (0.2500, 0.7500, 0.5000)
Tl (0.0000, 0.0001, 0.0000)
Pb (0.5000, 0.5000, 0.0000)

Values from the calculation:
**Size of the total moment**: 0.000 μB per atom
**Crystal system**: tetragonal
**Symmetry**: I-4m2, No. 119



Least stable: (one)



(one)
Dy2ErPd3 | GGA-PBE | relaxed

abc: 3.4260 4.9926 14.9880
angles: 90.00 90.00 90.00
Atoms (fractional coordinates):
Dy (0.9996, 0.0000, 0.6666)
Dy (0.9996, 0.0000, 0.3334)
Dy (0.0004, 0.5000, 0.1666)
Dy (0.0004, 0.5000, 0.8334)
Er (0.9995, 0.5000, 0.5000)
Er (0.0005, 0.0000, 0.0000)
Pd (0.4995, 0.5000, 0.6642)
Pd (0.4997, 0.0000, 0.5000)
Pd (0.4995, 0.5000, 0.3358)
Pd (0.5005, 0.0000, 0.1642)
Pd (0.5003, 0.5000, 0.0000)
Pd (0.5005, 0.0000, 0.8358)

Values from the calculation:
**Size of the total moment**: 0.000 μB per atom
**Crystal system**: orthorhombic
**Symmetry**: Cmmm, No. 65



(two)
Dy2ErPd3 | GGA-PBE | relaxed

abc: 5.8908 8.1119 6.8310
angles: 106.90 115.54 90.00
Atoms (fractional coordinates):
Dy (0.6971, 0.5811, 0.3436)
Dy (0.6465, 0.0811, 0.3436)
Dy (0.3535, 0.9189, 0.6564)
Dy (0.3029, 0.4189, 0.6564)
Er (0.8872, 0.7500, 0.0000)
Er (0.1128, 0.2500, 0.0000)
Pd (0.6143, 0.2500, 0.0000)
Pd (0.3857, 0.7500, 0.0000)
Pd (0.1234, 0.0843, 0.3090)
Pd (0.8144, 0.4157, 0.6910)
Pd (0.1856, 0.5843, 0.3090)
Pd (0.8766, 0.9157, 0.6910)

Values from the calculation:
**Size of the total moment**: 0.000 μB per atom
**Crystal system**: monoclinic
**Symmetry**: C2/c, No. 15



Least stable: (two)



(one)
DyEr2Pd3 | GGA-PBE | relaxed

abc: 3.4183 4.9769 14.9342
angles: 90.00 90.00 90.00
Atoms (fractional coordinates):
Dy (0.9991, 0.5000, 0.5000)
Dy (0.0009, 0.0000, 0.0000)
Er (0.0003, 0.0000, 0.6668)
Er (0.0003, 0.0000, 0.3332)
Er (0.9997, 0.5000, 0.1668)
Er (0.9997, 0.5000, 0.8332)
Pd (0.4997, 0.5000, 0.6688)
Pd (0.4997, 0.0000, 0.5000)
Pd (0.4997, 0.5000, 0.3312)
Pd (0.5003, 0.0000, 0.1688)
Pd (0.5003, 0.5000, 0.0000)
Pd (0.5003, 0.0000, 0.8312)

Values from the calculation:
**Size of the total moment**: 0.000 μB per atom
**Crystal system**: orthorhombic
**Symmetry**: Pmmn, No. 59



(two)
DyEr2Pd3 | GGA-PBE | relaxed

abc: 3.4895 3.4895 10.4570
angles: 90.00 90.00 90.00
Atoms (fractional coordinates):
Dy (0.5000, 0.5000, 0.5000)
Er (0.5000, 0.5000, 0.8345)
Er (0.5000, 0.5000, 0.1655)
Pd (0.0000, 0.0000, 0.0000)
Pd (0.0000, 0.0000, 0.6700)
Pd (0.0000, 0.0000, 0.3300)

Values from the calculation:
**Size of the total moment**: 0.000 μB per atom
**Crystal system**: tetragonal
**Symmetry**: P4/mmm, No. 123



Least stable: (two)



(one)
DyEr2Pd | GGA-PBE | relaxed

abc: 3.7383 6.4044 9.2499
angles: 90.00 90.00 107.01
Atoms (fractional coordinates):
Dy (0.9381, 0.8770, 0.2500)
Dy (0.0619, 0.1230, 0.7500)
Er (0.3641, 0.7292, 0.5600)
Er (0.6359, 0.2708, 0.4400)
Er (0.3641, 0.7292, 0.9400)
Er (0.6359, 0.2708, 0.0600)
Pd (0.7601, 0.5213, 0.7500)
Pd (0.2399, 0.4787, 0.2500)

Values from the calculation:
**Size of the total moment**: 0.000 μB per atom
**Crystal system**: monoclinic
**Symmetry**: P2_1/m, No. 11



(two)
DyEr2Pd | GGA-PBE | relaxed

abc: 3.6844 3.6844 9.7410
angles: 79.10 79.10 60.00
Atoms (fractional coordinates):
Dy (0.5009, 0.5009, 0.4972)
Er (0.0654, 0.0654, 0.8037)
Er (0.2674, 0.2674, 0.1979)
Pd (0.6663, 0.6663, 0.0012)

Values from the calculation:
**Size of the total moment**: 0.056 μB per atom
**Crystal system**: trigonal
**Symmetry**: R3m, No. 160



(three)
DyEr2Pd | GGA-PBE | relaxed

abc: 3.5499 3.5499 8.3430
angles: 90.00 90.00 90.00
Atoms (fractional coordinates):
Dy (0.5000, 0.5000, 0.5000)
Pd (0.5000, 0.5000, 0.0000)
Er (0.0000, 0.0000, 0.8013)
Er (0.0000, 0.0000, 0.1987)

Values from the calculation:
**Size of the total moment**: 0.000 μB per atom
**Crystal system**: tetragonal
**Symmetry**: P4/mmm, No. 123



Least stable: (two)